Entry from Alexandria: an optimized crystal structure of BeInAs2 (PBE-GGA).

The structure belongs to space group Imm2 (No. 44); the cell edges are 3.480, 3.494 and 13.302 Å and the angles 90.00°, 90.00° and 90.00°. The asymmetric unit holds Be at (0.000, 0.000, 0.000), In at (0.000, 0.500, 0.734), As at (0.000, 0.000, 0.544) and As at (0.000, 0.500, 0.385).

As for the formation energy from the elements: 0.813 eV per formula unit. The mass density comes out at 5.6 Mg/m³. Its calculated volume is 162 Å³ per cell.